<w>
Density functional theory data (PBE with a Hubbard U) for a geometry-optimized CoSnSO structure.

Cell: 8.395 8.395 5.523 Å, 90.00 90.00 23.17°
Last column: magnetic moment on the atom in μB.
Atoms (fractional coordinates):
Sn: 0.081 0.081 0.882  0.03
Sn: 0.919 0.919 0.382  0.03
O: 0.874 0.874 0.033  0.12
O: 0.126 0.126 0.533  0.12
S: 0.694 0.694 0.023  0.08
S: 0.306 0.306 0.523  0.08
Co: 0.687 0.687 0.455  2.62
Co: 0.313 0.313 0.955  2.62

***

<x>
Density functional theory data (PBE with a Hubbard U) for a geometry-optimized CoSnSO structure.

Cell: 6.438 6.438 5.870 Å, 90.00 90.00 34.37°
Last column: magnetic moment on the atom in μB.
Atoms (fractional coordinates):
Sn: 0.387 0.387 0.250  0.02
Sn: 0.613 0.613 0.750  0.02
O: 0.000 0.000 0.500  0.17
O: 0.000 0.000 0.000  0.17
Co: 0.102 0.102 0.250  2.59
Co: 0.898 0.898 0.750  2.59
S: 0.710 0.710 0.250  0.07
S: 0.290 0.290 0.750  0.07

***

In meV/atom, relative to the most stable structure: <w> 0; <x> 41.